## Mg2TeW (GGA-PBE)

Data for Mg2TeW after structural relaxation.

## Properties
Magnetic moment: 0.0 μB/cell
Total energy: -4.45 eV/atom
Formation energy without anion corrections: 0.368 eV per atom
DOS at the Fermi energy: 2.01 states/eV/cell

Cell: 5.1239 5.1239 5.2108 Å, 98.53 98.53 37.11°
With the nearest neighbours (Å) after each atom.
Atoms (fractional coordinates):
Mg (0.0000, 0.0000, 0.0000)  3 Mg 2.79-3.08, 2 Te 2.87, 3 W 3.00-3.06
Mg (0.2410, 0.2410, 0.7713)  3 Mg 2.79-3.08, 1 Te 3.00, 4 W 3.04-3.10
Te (0.4662, 0.4662, 0.4386)  3 W 2.77-2.94, 3 Mg 2.87-3.00
W (0.7402, 0.7402, 0.2642)  3 Te 2.77-2.94, 5 Mg 3.00-3.06